(1)
TlCd2In | GGA-PBE | optimized geometry

Cell lengths 10.428, 10.428, 10.428 Å; angles 18.95, 18.95, 18.95 degrees
Sites, in units of the cell vectors:
Tl 0.000 0.000 0.000
Cd 0.248 0.248 0.248
Cd 0.503 0.503 0.503
In 0.757 0.757 0.757

Computed properties:
ΔH_f (0 K), eV/atom: 0.03
Size of the total moment, Bohr magnetons per cell: 0.0
E above lowest polymorph, meV per atom: 10
Space-group type: No. 160

---

(2)
Tl2CdIn | GGA-PBE | optimized geometry

Cell lengths 8.030, 8.030, 8.030 Å; angles 31.40, 31.40, 31.40 degrees
Sites, in units of the cell vectors:
Tl 0.000 0.000 0.000
Tl 0.171 0.171 0.171
Cd 0.587 0.587 0.587
In 0.418 0.418 0.418

Computed properties:
ΔH_f (0 K), eV/atom: 0.14
Size of the total moment, Bohr magnetons per cell: 0.0
E above lowest polymorph, meV per atom: 116
Space-group type: No. 160

---

(3)
Tl3CdIn2 | GGA-PBE | optimized geometry

Cell lengths 8.601, 8.601, 3.803 Å; angles 90.00, 90.00, 142.40 degrees
Sites, in units of the cell vectors:
Tl 0.000 0.000 0.000
Tl 0.178 0.822 0.500
Tl 0.822 0.178 0.500
Cd 0.500 0.500 0.500
In 0.349 0.651 0.000
In 0.651 0.349 0.000

Computed properties:
ΔH_f (0 K), eV/atom: 0.03
Size of the total moment, Bohr magnetons per cell: 0.0
E above lowest polymorph, meV per atom: 0
Space-group type: No. 65

---

(4)
Tl3Cd2In | GGA-PBE | optimized geometry

Cell lengths 9.074, 9.074, 9.074 Å; angles 151.33, 150.83, 41.36 degrees
Sites, in units of the cell vectors:
Tl 0.000 0.000 0.000
Tl 0.175 0.675 0.500
Tl 0.825 0.325 0.500
Cd 0.362 0.862 0.500
Cd 0.638 0.138 0.500
In 0.500 0.500 0.000

Computed properties:
ΔH_f (0 K), eV/atom: 0.07
Size of the total moment, Bohr magnetons per cell: 0.0
E above lowest polymorph, meV per atom: 40
Space-group type: No. 71